(1)
TmTaNi2: relaxed, PBE.

a b c (Å): 4.2514 4.2514 13.6067
angles (deg): 90.00 90.00 120.00
Closest atoms and distances in Å follow each position.
Space group R-3m (No. 166, hexagonal axes)
Symmetry-distinct sites (fractional):
Tm (0.0000, 0.0000, 0.0000) (multiplicity 3)  8 Ni 2.80-3.01
Ta (0.0000, 0.0000, 0.5000) (multiplicity 3)  6 Ni 2.51
Ni (0.0000, 0.0000, 0.2055) (multiplicity 6)  3 Ta 2.51, 3 Ni 2.67, 1 Tm 2.80

Values from the calculation:
The calculation puts the magnetic moment at 0.000 μB per formula unit. The calculation puts the mass density at 10.9 g cm⁻³. For the density of states at the Fermi level, the calculation gives 6.63 states/eV per cell. The excess energy over the best structure of this formula in the dataset comes out at 0.004 eV/atom. The value obtained for the energy relative to the elements is -1.051 eV/f.u.

***

(2)
CaCdTc2: relaxed, PBE.

a b c (Å): 3.1354 3.1354 8.0079
angles (deg): 90.00 90.00 90.00
Closest atoms and distances in Å follow each position.
Space group P4mm (No. 99)
Symmetry-distinct sites (fractional):
Ca (0.0000, 0.0000, 0.0000) (multiplicity 1)  5 Tc 3.12-3.48, 4 Ca 3.14, 4 Cd 3.37
Cd (0.5000, 0.5000, 0.3171) (multiplicity 1)  5 Tc 2.98-3.27, 4 Cd 3.14
Tc (0.0000, 0.0000, 0.5655) (multiplicity 1)  4 Tc 2.56
Tc (0.5000, 0.5000, 0.7255) (multiplicity 1)  4 Tc 2.56

Values from the calculation:
The calculation puts the magnetic moment at 0.000 μB per formula unit. The calculation puts the mass density at 7.4 g cm⁻³. For the density of states at the Fermi level, the calculation gives 2.75 states/eV per cell. The value obtained for the energy relative to the elements is 0.492 eV/f.u.

***

(3)
TbThCu3: relaxed, PBE.

a b c (Å): 3.5239 26.5667 4.3624
angles (deg): 90.00 90.00 90.00
Closest atoms and distances in Å follow each position.
Space group Cmcm (No. 63)
Symmetry-distinct sites (fractional):
Tb (0.0000, 0.2048, 0.2500) (multiplicity 4)  6 Cu 2.89-2.94
Th (0.0000, 0.0719, 0.7500) (multiplicity 4)  12 Cu 3.07-3.17
Cu (0.0000, 0.3291, 0.2500) (multiplicity 4)  2 Cu 2.59
Cu (0.0000, 0.3815, 0.7500) (multiplicity 4)  3 Cu 2.52-2.59
Cu (0.0000, 0.4765, 0.7500) (multiplicity 4)  3 Cu 2.51-2.52

Values from the calculation:
The calculation puts the magnetic moment at 0.000 μB per formula unit. The calculation puts the mass density at 9.5 g cm⁻³. For the density of states at the Fermi level, the calculation gives 12.70 states/eV per cell. The value obtained for the energy relative to the elements is -1.041 eV/f.u.